Record 1
## TbGdAlAg (PBE-GGA)

Data for TbGdAlAg after structural relaxation.

The structure belongs to space group F-43m (No. 216); the cell edges are 7.3386, 7.3386 and 7.3386 Å and the angles 90.00°, 90.00° and 90.00°. The inequivalent atoms are Tb at (0.0000, 0.0000, 0.0000), Gd at (0.0000, 0.0000, 0.5000), Al at (0.2500, 0.2500, 0.7500) and Ag at (0.2500, 0.2500, 0.2500).

The calculated total energy is -6.66 eV per atom. For the density, the calculation gives 7.6 g/cm3. The value obtained for the formation energy is -1.34 eV/f.u.


Record 2
## GdAlTlAg (PBE-GGA)

Data for GdAlTlAg after structural relaxation.

The structure belongs to space group F-43m (No. 216); the cell edges are 7.1336, 7.1336 and 7.1336 Å and the angles 90.00°, 90.00° and 90.00°. The inequivalent atoms are Gd at (0.0000, 0.0000, 0.0000), Al at (0.0000, 0.0000, 0.5000), Tl at (0.2500, 0.2500, 0.2500) and Ag at (0.2500, 0.2500, 0.7500).

The calculated total energy is -5.93 eV per atom. For the density, the calculation gives 9.1 g/cm3. The value obtained for the formation energy is -0.68 eV/f.u.


Record 3
## GdTmAlAg (PBE-GGA)

Data for GdTmAlAg after structural relaxation.

The structure belongs to space group F-43m (No. 216); the cell edges are 7.2746, 7.2746 and 7.2746 Å and the angles 90.00°, 90.00° and 90.00°. The inequivalent atoms are Gd at (0.0000, 0.0000, 0.0000), Tm at (0.0000, 0.0000, 0.5000), Al at (0.2500, 0.2500, 0.7500) and Ag at (0.2500, 0.2500, 0.2500).

The calculated total energy is -6.63 eV per atom. For the density, the calculation gives 8.0 g/cm3. The value obtained for the formation energy is -1.36 eV/f.u.


Record 4
## GdZrAlAg (PBE-GGA)

Data for GdZrAlAg after structural relaxation.

The structure belongs to space group F-43m (No. 216); the cell edges are 7.1007, 7.1007 and 7.1007 Å and the angles 90.00°, 90.00° and 90.00°. The inequivalent atoms are Gd at (0.0000, 0.0000, 0.0000), Zr at (0.0000, 0.0000, 0.5000), Al at (0.2500, 0.2500, 0.7500) and Ag at (0.2500, 0.2500, 0.2500).

The calculated total energy is -7.50 eV per atom. For the density, the calculation gives 7.1 g/cm3. The value obtained for the formation energy is -0.78 eV/f.u.


Question: Among the records above, which one has the highest calculated total energy?
Answer: GdAlTlAg